CaMg2Ru: relaxed, GGA-PBE.

Results
* energy relative to the elements: 0.3110 eV per atom
* magnetic moment: 2.3 μB per cell
* V: 20.6 A^3/atom

Structure (CIF):
```
data_CaMg2Ru
_space_group_name_H-M_alt 'C m m m'
_space_group_IT_number 65
_space_group_name_Hall '-C 2 2'
_cell_length_a 5.983
_cell_length_b 8.673
_cell_length_c 3.181
_cell_angle_alpha 90.00
_cell_angle_beta 90.00
_cell_angle_gamma 90.00
loop_
_atom_site_label
_atom_site_fract_x
_atom_site_fract_y
_atom_site_fract_z
_atom_site_occupancy
Ca1 0.000 0.000 0.000 1
Mg1 0.250 0.250 0.500 1
Ru1 0.000 0.500 0.000 1
```